one:
Computed, not measured: a relaxed Cr3FeCl crystal at the GGA-PBE level of DFT.

Cell lengths 4.280, 4.280, 4.280 Å; angles 90.00, 90.00, 90.00 degrees
Positions (direct):
Fe (0.000, 0.000, 0.000)
Cr (0.000, 0.000, 0.500)
Cr (0.500, 0.000, 0.000)
Cr (0.000, 0.500, 0.000)
Cl (0.500, 0.500, 0.500)

Values from the calculation:
space-group type	Pm-3m, No. 221
M_tot	0.001	μB per atom
crystal system	cubic

=====

two:
Computed, not measured: a relaxed Cr3FeCl crystal at the GGA-PBE level of DFT.

Cell lengths 4.096, 4.096, 4.096 Å; angles 90.00, 90.00, 90.00 degrees
Positions (direct):
Fe (0.500, 0.500, 0.500)
Cl (0.000, 0.000, 0.000)
Cr (0.000, 0.000, 0.500)
Cr (0.000, 0.500, 0.000)
Cr (0.500, 0.000, 0.000)

Values from the calculation:
space-group type	Pm-3m, No. 221
M_tot	0.564	μB per atom
crystal system	cubic

=====

Which of them is least stable? Easy: one.

=====

one:
Computed, not measured: a relaxed CrFeCl2 crystal at the GGA-PBE level of DFT.

Cell lengths 3.365, 3.391, 7.184 Å; angles 75.61, 90.00, 90.00 degrees
Positions (direct):
Cl (0.000, 0.848, 0.915)
Cl (0.500, 0.137, 0.363)
Fe (0.500, 0.965, 0.691)
Cr (0.000, 0.549, 0.531)

Values from the calculation:
space-group type	Pm, No. 6
M_tot	0.494	μB per atom
crystal system	monoclinic

=====

two:
Computed, not measured: a relaxed CrFeCl2 crystal at the GGA-PBE level of DFT.

Cell lengths 3.254, 5.703, 5.208 Å; angles 44.84, 90.00, 90.00 degrees
Positions (direct):
Fe (0.000, 0.000, 0.500)
Cr (0.500, 0.500, 0.500)
Cl (0.000, 0.000, 0.000)
Cl (0.500, 0.500, 0.000)

Values from the calculation:
space-group type	P2/m, No. 10
M_tot	1.858	μB per atom
crystal system	monoclinic

=====

three:
Computed, not measured: a relaxed CrFeCl2 crystal at the GGA-PBE level of DFT.

Cell lengths 3.458, 3.458, 7.749 Å; angles 90.00, 90.00, 124.61 degrees
Positions (direct):
Cl (0.000, 0.000, 0.989)
Cl (0.000, 0.000, 0.511)
Fe (0.500, 0.500, 0.750)
Cr (0.500, 0.500, 0.250)

Values from the calculation:
space-group type	Cmmm, No. 65
M_tot	1.957	μB per atom
crystal system	orthorhombic

=====

four:
Computed, not measured: a relaxed CrFeCl2 crystal at the GGA-PBE level of DFT.

Cell lengths 8.741, 8.741, 8.741 Å; angles 160.02, 159.43, 28.83 degrees
Positions (direct):
Cr (0.440, 0.440, 0.000)
Cl (0.734, 0.234, 0.500)
Cl (0.015, 0.015, 0.000)
Fe (0.310, 0.810, 0.500)

Values from the calculation:
space-group type	Imm2, No. 44
M_tot	1.619	μB per atom
crystal system	orthorhombic

=====

Which of them is least stable? Easy: three.

=====

one:
Computed, not measured: a relaxed Cr2FeCl crystal at the GGA-PBE level of DFT.

Cell lengths 2.956, 4.246, 4.348 Å; angles 90.00, 90.00, 90.00 degrees
Positions (direct):
Cr (0.500, 0.500, 0.000)
Cr (0.000, 0.000, 0.000)
Fe (0.500, 0.000, 0.500)
Cl (0.000, 0.500, 0.500)

Values from the calculation:
space-group type	Pmmm, No. 47
M_tot	0.623	μB per atom
crystal system	orthorhombic

=====

two:
Computed, not measured: a relaxed Cr2FeCl crystal at the GGA-PBE level of DFT.

Cell lengths 2.902, 2.979, 6.751 Å; angles 90.04, 90.00, 90.00 degrees
Positions (direct):
Cr (0.000, 0.749, 0.048)
Cr (0.500, 0.250, 0.255)
Fe (0.000, 0.750, 0.454)
Cl (0.500, 0.751, 0.743)

Values from the calculation:
space-group type	Pmm2, No. 25
M_tot	0.699	μB per atom
crystal system	orthorhombic

=====

Which of them is least stable? Easy: one.

=====

one:
Computed, not measured: a relaxed Cr3GaCl crystal at the GGA-PBE level of DFT.

Cell lengths 4.866, 4.866, 4.866 Å; angles 90.00, 90.00, 90.00 degrees
Positions (direct):
Ga (0.000, 0.000, 0.000)
Cl (0.500, 0.500, 0.500)
Cr (0.500, 0.000, 0.000)
Cr (0.000, 0.000, 0.500)
Cr (0.000, 0.500, 0.000)

Values from the calculation:
space-group type	Pm-3m, No. 221
M_tot	2.449	μB per atom
crystal system	cubic

=====

two:
Computed, not measured: a relaxed Cr3GaCl crystal at the GGA-PBE level of DFT.

Cell lengths 4.133, 4.133, 4.133 Å; angles 90.00, 90.00, 90.00 degrees
Positions (direct):
Cr (0.000, 0.000, 0.500)
Cr (0.000, 0.500, 0.000)
Cr (0.500, 0.000, 0.000)
Ga (0.500, 0.500, 0.500)
Cl (0.000, 0.000, 0.000)

Values from the calculation:
space-group type	Pm-3m, No. 221
M_tot	0.337	μB per atom
crystal system	cubic

=====

Which of them is least stable? Easy: one.